# 1
Material: Li5Mg3Ge2
Method: DFT, PBE
State: relaxed

a b c (Å): 5.6035 10.7534 10.7534
angles (deg): 37.38 74.90 74.90
Fractional positions:
Li: 0.2500 0.5000 0.5000
Mg: 0.3772 0.4789 0.7667
Mg: 0.6228 0.5211 0.2333
Li: 0.5941 0.1559 0.1559
Mg: 0.7500 0.0000 0.0000
Li: 0.0941 0.1559 0.1559
Li: 0.2780 0.9103 0.5337
Ge: 0.9144 0.3418 0.8294
Mg: 0.2500 0.0000 0.0000
Li: 0.7780 0.5337 0.9103
Li: 0.9059 0.8441 0.8441
Mg: 0.1228 0.2333 0.5211
Ge: 0.5856 0.1706 0.6582
Li: 0.4059 0.8441 0.8441
Mg: 0.8772 0.7667 0.4789
Li: 0.2220 0.4663 0.0897
Ge: 0.4144 0.8294 0.3418
Li: 0.7220 0.0897 0.4663
Ge: 0.0856 0.6582 0.1706
Li: 0.7500 0.5000 0.5000

energy: -2.559 eV/atom

=====

# 2
Material: Li4Mg2Ge
Method: DFT, PBE
State: relaxed

a b c (Å): 4.6576 4.6576 8.0626
angles (deg): 73.21 73.21 90.00
Fractional positions:
Ge: 0.0000 0.0000 0.0000
Li: 0.1753 0.1753 0.6494
Mg: 0.3764 0.3764 0.2473
Li: 0.5000 0.0000 0.0000
Li: 0.0000 0.5000 0.0000
Li: 0.8247 0.8247 0.3505
Mg: 0.6236 0.6236 0.7527

energy: -2.143 eV/atom

=====

# 3
Material: Li2Mg2Ge
Method: DFT, PBE
State: relaxed

a b c (Å): 7.0737 7.0737 4.1683
angles (deg): 90.00 90.00 90.00
Fractional positions:
Mg: 0.1448 0.6448 0.0000
Ge: 0.5000 0.5000 0.0000
Ge: 0.0000 0.0000 0.0000
Li: 0.6592 0.1592 0.5000
Li: 0.3408 0.8408 0.5000
Mg: 0.8552 0.3552 0.0000
Li: 0.1592 0.3408 0.5000
Mg: 0.6448 0.8552 0.0000
Li: 0.8408 0.6592 0.5000
Mg: 0.3552 0.1448 0.0000

energy: -2.336 eV/atom
offset from the most stable computed form: 42 kJ/mol of formula units

=====

# 4
Material: LiMgGe
Method: DFT, PBE
State: relaxed

a b c (Å): 4.6525 4.6561 6.5314
angles (deg): 108.71 92.43 119.43
Fractional positions:
Ge: 0.4878 0.3005 0.2921
Li: 0.8237 0.3298 0.6509
Mg: 0.2260 0.1162 0.8397
Ge: 0.5122 0.6995 0.7079
Mg: 0.7740 0.8838 0.1603
Li: 0.1763 0.6702 0.3491

energy: -2.972 eV/atom

=====

Among the records above, which one has the lowest energy?
LiMgGe

=====

Number 2 is which compound?
Li4Mg2Ge

=====

Which of these has the lowest energy?
LiMgGe

=====

What is the formula in the second record?
Li4Mg2Ge